Record 1
Computed, not measured: a relaxed structure of RbIO2 at the PBEsol level of DFT.

The space group is R-3m (No. 166, hexagonal axes) and the conventional cell measures 3.9342, 3.9342 and 15.7068 Å, with angles of 90.00, 90.00 and 120.00 degrees. The asymmetric unit holds Rb at (0.0000, 0.0000, 0.0000), I at (0.0000, 0.0000, 0.5000) and O at (0.0000, 0.0000, 0.2027).

The value obtained for the total magnetization is 0.00 μB/atom. The calculation puts the uncorrected formation energy at -2.01 eV/f.u.

***

Record 2
Computed, not measured: a relaxed structure of Ba2BC at the PBEsol level of DFT.

The space group is Fm-3m (No. 225) and the conventional cell measures 7.153, 7.153 and 7.153 Å, with angles of 90.00, 90.00 and 90.00 degrees. The asymmetric unit holds Ba at (0.250, 0.250, 0.250), B at (0.000, 0.000, 0.000) and C at (0.000, 0.000, 0.500).

The value obtained for the total magnetization is 0.13 μB/atom. For the total energy, the calculation gives -15.83 eV/f.u. The density of states at the Fermi level is 11.48 states/eV/cell.

***

Record 3
Computed, not measured: a relaxed structure of Ca2Pb at the PBEsol level of DFT.

The space group is P6_3/mmc (No. 194) and the conventional cell measures 5.3845, 5.3845 and 7.1302 Å, with angles of 90.00, 90.00 and 120.00 degrees. The asymmetric unit holds Ca at (0.0000, 0.0000, 0.0000), Ca at (0.3333, 0.6667, 0.2500) and Pb at (0.3333, 0.6667, 0.7500).

The value obtained for the total magnetization is 0.00 μB/atom. For the total energy, the calculation gives -10.05 eV/f.u. The density of states at the Fermi level is 0.61 states/eV/cell.

***

Record 4
Computed, not measured: a relaxed structure of Mn2Ir at the PBEsol level of DFT.

The space group is P6/mmm (No. 191) and the conventional cell measures 3.9415, 3.9415 and 2.5957 Å, with angles of 90.00, 90.00 and 120.00 degrees. The asymmetric unit holds Mn at (0.3333, 0.6667, 0.0000) and Ir at (0.0000, 0.0000, 0.5000).

The value obtained for the total magnetization is 0.00 μB/atom. For the total energy, the calculation gives -29.61 eV/f.u. The density of states at the Fermi level is 2.66 states/eV/cell.

***

Record 5
Computed, not measured: a relaxed structure of K2FeH at the PBEsol level of DFT.

The space group is Fm-3m (No. 225) and the conventional cell measures 7.742, 7.742 and 7.742 Å, with angles of 90.00, 90.00 and 90.00 degrees. The asymmetric unit holds K at (0.250, 0.250, 0.250), Fe at (0.000, 0.000, 0.000) and H at (0.000, 0.000, 0.500).

The value obtained for the total magnetization is 0.76 μB/atom. For the total energy, the calculation gives -10.26 eV/f.u. The density of states at the Fermi level is 39.50 states/eV/cell.

***

Record 6
Computed, not measured: a relaxed structure of CuBiW2O8 at the PBEsol level of DFT.

The space group is P1 (No. 1) and the conventional cell measures 5.014, 6.036 and 6.137 Å, with angles of 109.19, 91.87 and 113.12 degrees. The asymmetric unit holds Cu at (0.000, 0.000, 0.000), Bi at (0.510, 0.006, 0.508), W at (0.264, 0.528, 0.843), W at (0.754, 0.483, 0.173), O at (0.007, 0.733, 0.435), O at (0.014, 0.280, 0.579), O at (0.044, 0.709, 0.985), O at (0.477, 0.315, 0.845), O at (0.508, 0.253, 0.281), O at (0.515, 0.760, 0.738), O at (0.540, 0.695, 0.172) and O at (0.972, 0.302, 0.029).

The value obtained for the total magnetization is 0.00 μB/atom. The calculation puts the uncorrected formation energy at -20.70 eV/f.u.

***

Record 7
Computed, not measured: a relaxed structure of MnHgOs at the PBEsol level of DFT.

The space group is F-43m (No. 216) and the conventional cell measures 6.073, 6.073 and 6.073 Å, with angles of 90.00, 90.00 and 90.00 degrees. The asymmetric unit holds Mn at (0.000, 0.000, 0.000), Hg at (0.000, 0.000, 0.500) and Os at (0.250, 0.250, 0.250).

The value obtained for the total magnetization is 0.98 μB/atom. For the total energy, the calculation gives -19.16 eV/f.u. The density of states at the Fermi level is 19.62 states/eV/cell.

***

Record 8
Computed, not measured: a relaxed structure of LiAgF4 at the PBEsol level of DFT.

The space group is C2/m (No. 12) and the conventional cell measures 6.713, 6.318 and 3.501 Å, with angles of 90.00, 98.52 and 90.00 degrees. The asymmetric unit holds Li at (0.000, 0.000, 0.000), Ag at (0.000, 0.500, 0.500), F at (0.000, 0.195, 0.500) and F at (0.208, 0.500, 0.943).

The value obtained for the total magnetization is 0.00 μB/atom. The calculation puts the uncorrected formation energy at -10.32 eV/f.u. As for the distance to the lowest polymorph of the same formula: 0.5 kJ per mole of atoms.